(1)
LiTl2: single point on PBEsol structure, SCAN.

Cell lengths 5.6559, 5.6559, 5.6559 Å; angles 106.48, 106.48, 115.64 degrees
Positions (direct):
Tl: 0.6671 0.1671 0.8343
Tl: 0.1671 0.3329 0.5000
Tl: 0.8329 0.6671 0.5000
Tl: 0.3329 0.8329 0.1657
Li: 0.2500 0.2500 0.0000
Li: 0.7500 0.7500 0.0000

- V (Å³/cell) = 138
- ΔH_f (0 K) (meV/atom) = -166
- offset from the most stable computed form (meV/atom) = 22.5
- space-group type = I4/mcm (140)
- uncorrected energy (eV per atom) = -49.2018

=====

(2)
NaNiP2: single point on PBEsol structure, SCAN.

Cell lengths 4.2948, 4.2948, 4.2948 Å; angles 60.00, 60.00, 60.00 degrees
Positions (direct):
P: 0.2500 0.2500 0.2500
Na: 0.0000 0.0000 0.0000
P: 0.7500 0.7500 0.7500
Ni: 0.5000 0.5000 0.5000

- V (Å³/cell) = 56
- ΔH_f (0 K) (meV/atom) = 262
- offset from the most stable computed form (meV/atom) = 425.1
- space-group type = Fm-3m (225)
- uncorrected energy (eV per atom) = -10.0348

=====

(3)
Ga3TeN: single point on PBEsol structure, SCAN.

Cell lengths 5.4297, 5.4297, 5.4297 Å; angles 90.00, 90.00, 90.00 degrees
Last column: magnetic moment on the atom in μB.
Positions (direct):
Te: 0.0000 0.0000 0.0000  -0.02
Ga: 0.0000 0.5000 0.0000  -0.04
Ga: 0.5000 0.0000 0.0000  -0.04
N: 0.5000 0.5000 0.5000  1.74
Ga: 0.0000 0.0000 0.5000  -0.04

- V (Å³/cell) = 160
- space-group type = Pm-3m (221)
- energy relative to the elements, uncorrected (eV/atom) = 1.62
- uncorrected energy (eV per atom) = -17.5001

=====

(4)
Zr7Sb4: single point on PBEsol structure, SCAN.

Cell lengths 8.4317, 11.0545, 11.1047 Å; angles 90.00, 90.00, 111.76 degrees
Positions (direct):
Zr: 0.3394 0.0185 0.2616
Sb: 0.2261 0.5611 0.0076
Zr: 0.9867 0.5695 0.2055
Zr: 0.3394 0.5185 0.2384
Sb: 0.6802 0.0784 0.1761
Zr: 0.6462 0.8276 0.2774
Zr: 0.6606 0.9815 0.7384
Sb: 0.3198 0.4216 0.6761
Zr: 0.3538 0.1724 0.7226
Zr: 0.7971 0.9441 0.9998
Zr: 0.6344 0.1346 0.4408
Zr: 0.0116 0.2104 0.5781
Zr: 0.9884 0.2896 0.0781
Zr: 0.6034 0.1604 0.9397
Sb: 0.9889 0.8381 0.1542
Sb: 0.2261 0.0611 0.4924
Zr: 0.7971 0.4441 0.5002
Sb: 0.6802 0.5784 0.3239
Zr: 0.0116 0.7104 0.9219
Zr: 0.3966 0.8396 0.0603
Zr: 0.2029 0.5559 0.4998
Sb: 0.2857 0.7526 0.3169
Zr: 0.9884 0.7896 0.4219
Sb: 0.9889 0.3381 0.3458
Zr: 0.6344 0.6346 0.0592
Sb: 0.7143 0.2474 0.6831
Sb: 0.7739 0.4389 0.9924
Sb: 0.3198 0.9216 0.8239
Zr: 0.6034 0.6604 0.5603
Zr: 0.0133 0.9305 0.7055
Sb: 0.7739 0.9389 0.5076
Sb: 0.0111 0.1619 0.8458
Zr: 0.3538 0.6724 0.7774
Zr: 0.3656 0.3654 0.9408
Zr: 0.6462 0.3276 0.2226
Zr: 0.0133 0.4305 0.7945
Sb: 0.2857 0.2526 0.1831
Zr: 0.3966 0.3396 0.4397
Sb: 0.0111 0.6619 0.6542
Zr: 0.9867 0.0695 0.2945
Sb: 0.7143 0.7474 0.8169
Zr: 0.2029 0.0559 0.0002
Zr: 0.6606 0.4815 0.7616
Zr: 0.3656 0.8654 0.5592

- V (Å³/cell) = 961
- space-group type = P2_1/c (14)
- energy relative to the elements, uncorrected (eV/atom) = -0.77
- uncorrected energy (eV per atom) = -33.8598

=====

(5)
Tl3AgRu: single point on PBEsol structure, SCAN.

Cell lengths 5.2190, 5.2190, 5.2190 Å; angles 90.00, 90.00, 90.00 degrees
Last column: magnetic moment on the atom in μB.
Positions (direct):
Ag: 0.0000 0.0000 0.0000  0.00
Tl: 0.0000 0.0000 0.5000  -0.01
Ru: 0.5000 0.5000 0.5000  2.37
Tl: 0.0000 0.5000 0.0000  -0.01
Tl: 0.5000 0.0000 0.0000  -0.01

- V (Å³/cell) = 142
- ΔH_f (0 K) (meV/atom) = 1153
- space-group type = Pm-3m (221)
- uncorrected energy (eV per atom) = -55.5010

=====

(6)
MgRh2Pb: single point on PBEsol structure, SCAN.

Cell lengths 3.8764, 3.8764, 5.1736 Å; angles 112.00, 112.00, 90.00 degrees
Positions (direct):
Rh: 0.0000 0.0000 0.0000
Rh: 0.7500 0.2500 0.5000
Pb: 0.2500 0.7500 0.5000
Mg: 0.5000 0.5000 0.0000

- V (Å³/cell) = 66
- ΔH_f (0 K) (meV/atom) = -157
- space-group type = I-4m2 (119)
- uncorrected energy (eV per atom) = -37.2315

=====

(7)
InF3: single point on PBEsol structure, SCAN.

Cell lengths 5.3080, 5.3080, 5.7648 Å; angles 62.59, 62.59, 60.00 degrees
Positions (direct):
F: 0.1168 0.3832 0.7500
In: 0.5000 0.5000 0.5000
F: 0.8832 0.6168 0.2500
F: 0.7500 0.1168 0.7500
In: 0.0000 0.0000 0.0000
F: 0.2500 0.8832 0.2500
F: 0.6168 0.2500 0.2500
F: 0.3832 0.7500 0.7500

- V (Å³/cell) = 119
- space-group type = R-3c (167)
- energy relative to the elements, uncorrected (eV/atom) = -2.69
- uncorrected energy (eV per atom) = -13.6952

=====

(8)
Li2TaW: single point on PBEsol structure, SCAN.

Cell lengths 2.7112, 2.7112, 9.6252 Å; angles 90.00, 90.00, 109.02 degrees
Positions (direct):
W: 0.5000 0.5000 0.2525
Ta: 0.0000 0.0000 0.4877
Li: 0.5000 0.5000 0.7468
Li: 0.0000 0.0000 0.0129

- V (Å³/cell) = 67
- ΔH_f (0 K) (meV/atom) = 253
- offset from the most stable computed form (meV/atom) = 0.0
- space-group type = Cmm2 (35)
- uncorrected energy (eV per atom) = -35.0095

=====

(9)
CaTlSi2: single point on PBEsol structure, SCAN.

Cell lengths 4.9693, 4.9693, 4.9693 Å; angles 60.00, 60.00, 60.00 degrees
Positions (direct):
Si: 0.0000 0.0000 0.0000
Si: 0.7500 0.7500 0.7500
Ca: 0.5000 0.5000 0.5000
Tl: 0.2500 0.2500 0.2500

- V (Å³/cell) = 87
- space-group type = F-43m (216)
- energy relative to the elements, uncorrected (eV/atom) = 0.31
- uncorrected energy (eV per atom) = -25.2053

=====

(10)
TcPRu: single point on PBEsol structure, SCAN.

Cell lengths 3.9009, 3.9009, 3.9009 Å; angles 60.00, 60.00, 60.00 degrees
Positions (direct):
P: 0.2500 0.2500 0.2500
Ru: 0.0000 0.0000 0.0000
Tc: 0.5000 0.5000 0.5000

- V (Å³/cell) = 42
- ΔH_f (0 K) (meV/atom) = -248
- space-group type = F-43m (216)
- uncorrected energy (eV per atom) = -27.0094

=====

(11)
CrSe2BrO: single point on PBEsol structure, SCAN.

Cell lengths 4.5468, 4.5468, 5.1329 Å; angles 90.00, 90.00, 90.00 degrees
Last column: magnetic moment on the atom in μB.
Positions (direct):
Br: 0.0000 0.0000 0.5000  0.02
Cr: 0.0000 0.0000 0.0000  2.58
Se: 0.5000 0.0000 0.0000  -0.36
Se: 0.0000 0.5000 0.0000  -0.36
O: 0.5000 0.5000 0.5000  1.44

- V (Å³/cell) = 106
- space-group type = P4/mmm (123)
- energy relative to the elements, uncorrected (eV/atom) = 0.45
- uncorrected energy (eV per atom) = -16.4013

=====

(12)
Ag5Hg: single point on PBEsol structure, SCAN.

Cell lengths 2.9772, 4.7086, 7.5265 Å; angles 90.00, 101.41, 90.00 degrees
Positions (direct):
Ag: 0.6690 0.0000 0.3379
Hg: 0.8867 0.5000 0.7734
Ag: 0.0047 0.0000 0.0093
Ag: 0.2170 0.5000 0.4340
Ag: 0.3340 0.0000 0.6680
Ag: 0.5553 0.5000 0.1106

- V (Å³/cell) = 103
- ΔH_f (0 K) (meV/atom) = 23
- offset from the most stable computed form (meV/atom) = 1.9
- space-group type = Amm2 (38)
- uncorrected energy (eV per atom) = -37.4767